## CdTeW2 (GGA-PBE)

Data for crystalline CdTeW2 at its relaxed geometry.

Lattice parameters (Å, degrees): 4.781 4.027 4.027 90.00 90.00 90.00
Element x y z (fractional)
W: 0.000 0.500 0.500
Te: 0.500 0.000 0.500
Cd: 0.500 0.500 0.000
W: 0.000 0.000 0.000

Summary:
uncorrected formation energy	4.54	eV per formula unit
energy relative to the lowest polymorph listed for this composition	702.4	meV/atom

=====

## AcAl6Ir (GGA-PBE)

Data for crystalline AcAl6Ir at its relaxed geometry.

Lattice parameters (Å, degrees): 4.338 4.338 8.560 90.00 90.00 90.00
Element x y z (fractional)
Al: 0.500 0.000 0.661
Ac: 0.000 0.000 0.000
Ir: 0.000 0.000 0.500
Al: 0.000 0.500 0.339
Al: 0.500 0.500 0.850
Al: 0.000 0.500 0.661
Al: 0.500 0.000 0.339
Al: 0.500 0.500 0.150

Summary:
energy relative to the lowest polymorph listed for this composition	0.0	meV/atom
E_form	-0.5121	eV/atom

=====

## LiNpSc2S4 (GGA-PBE)

Data for crystalline LiNpSc2S4 at its relaxed geometry.

Lattice parameters (Å, degrees): 3.748 6.492 6.574 109.31 90.00 90.00
Each line ends with the local moment (μB).
Element x y z (fractional)
Sc: 0.000 0.500 0.500  0.03
S: 0.000 0.747 0.260  -0.02
S: 0.500 0.261 0.262  -0.04
Np: 0.000 0.000 0.000  3.88
S: 0.000 0.253 0.740  -0.02
S: 0.500 0.739 0.738  -0.04
Li: 0.500 0.500 0.000  0.00
Sc: 0.500 0.000 0.500  0.16

Summary:
uncorrected formation energy	-13.41	eV per formula unit

=====

## PmAlSb2 (GGA-PBE)

Data for crystalline PmAlSb2 at its relaxed geometry.

Lattice parameters (Å, degrees): 3.332 3.332 11.343 81.55 81.55 60.00
Element x y z (fractional)
Sb: 0.914 0.914 0.258
Pm: 0.500 0.500 0.500
Al: 0.000 0.000 0.000
Sb: 0.086 0.086 0.742

Summary:
uncorrected formation energy	-0.27	eV per formula unit
energy relative to the lowest polymorph listed for this composition	384.8	meV/atom

=====

## AcPm2Nd6Er (GGA-PBE)

Data for crystalline AcPm2Nd6Er at its relaxed geometry.

Lattice parameters (Å, degrees): 9.810 9.141 9.141 118.13 93.02 93.02
Element x y z (fractional)
Nd: 0.689 0.012 0.562
Nd: 0.116 0.711 0.497
Nd: 0.384 0.503 0.289
Nd: 0.446 0.248 0.870
Ac: 0.750 0.024 0.976
Nd: 0.054 0.130 0.752
Ac: 0.250 0.976 0.024
Nd: 0.311 0.988 0.438
Er: 0.250 0.412 0.588
Pm: 0.546 0.201 0.315
Pm: 0.954 0.685 0.799
Nd: 0.189 0.562 0.012
Nd: 0.554 0.752 0.130
Er: 0.750 0.588 0.412
Nd: 0.616 0.497 0.711
Nd: 0.884 0.289 0.503
Pm: 0.046 0.315 0.201
Nd: 0.811 0.438 0.988
Pm: 0.454 0.799 0.685
Nd: 0.946 0.870 0.248

Summary:
E_form	0.1156	eV/atom

=====

## LaTmNi (GGA-PBE)

Data for crystalline LaTmNi at its relaxed geometry.

Lattice parameters (Å, degrees): 8.114 8.520 9.664 55.45 90.00 118.44
Element x y z (fractional)
Ni: 0.291 0.000 0.750
La: 0.652 0.000 0.750
La: 0.879 0.603 0.949
Ni: 0.554 0.692 0.654
Ni: 0.862 0.308 0.346
La: 0.652 0.000 0.250
Tm: 0.226 0.715 0.642
Tm: 0.970 0.000 0.000
Ni: 0.290 0.000 0.250
La: 0.276 0.397 0.551
La: 0.276 0.397 0.051
La: 0.879 0.603 0.449
Tm: 0.510 0.285 0.358
Tm: 0.510 0.285 0.858
Ni: 0.862 0.308 0.846
Tm: 0.970 0.000 0.500
Ni: 0.554 0.692 0.154
Tm: 0.226 0.715 0.142

Summary:
energy relative to the lowest polymorph listed for this composition	21.5	meV/atom
E_form	-0.2371	eV/atom

=====

## Tm2GaFe (GGA-PBE)

Data for crystalline Tm2GaFe at its relaxed geometry.

Lattice parameters (Å, degrees): 3.246 3.246 10.117 80.77 80.77 60.00
Each line ends with the local moment (μB).
Element x y z (fractional)
Tm: 0.089 0.089 0.734  -0.26
Ga: 0.500 0.500 0.500  -0.01
Fe: 0.000 0.000 0.000  2.61
Tm: 0.911 0.911 0.266  -0.26

Summary:
energy relative to the lowest polymorph listed for this composition	613.3	meV/atom
E_form	0.3473	eV/atom

=====

## YInAu2 (GGA-PBE)

Data for crystalline YInAu2 at its relaxed geometry.

Lattice parameters (Å, degrees): 4.472 3.847 5.681 70.17 90.00 90.00
Element x y z (fractional)
In: 0.000 0.480 0.415
Y: 0.500 0.767 0.841
Au: 0.000 0.211 0.952
Au: 0.500 0.041 0.292

Summary:
E_form	-0.5865	eV/atom